# SrZnNiS3 | OQMD via LeMat-Bulk | PBE | relaxed
data_SrZnNiS3
_cell_length_a 3.8453
_cell_length_b 12.7291
_cell_length_c 9.6493
_cell_angle_alpha 90.00
_cell_angle_beta 90.00
_cell_angle_gamma 90.00
_symmetry_space_group_name_H-M 'C m c m'
_symmetry_Int_Tables_number 63
_symmetry_space_group_name_Hall '-C 2c 2'
loop_
_atom_site_label
_atom_site_type_symbol
_atom_site_fract_x
_atom_site_fract_y
_atom_site_fract_z
Sr1 Sr 0.0000 0.2482 0.2500
Zn1 Zn 0.0000 0.0000 0.0000
Ni1 Ni 0.0000 0.4746 0.7500
S1 S 0.0000 0.0668 0.7500
S2 S 0.0000 0.3690 0.5596
# Polymorph energy (0 for the lowest one), eV/atom: 0.0104

***

DFT (PBE) results for crystalline Nd4Te3Au at its relaxed geometry.

Geometry as CIF:
```
data_Nd4Te3Au
_cell_length_a 9.0969
_cell_length_b 12.6445
_cell_length_c 4.3600
_cell_angle_alpha 90.00
_cell_angle_beta 90.00
_cell_angle_gamma 90.00
_symmetry_space_group_name_H-M 'C m m m'
_symmetry_Int_Tables_number 65
_symmetry_space_group_name_Hall '-C 2 2'
loop_
_atom_site_label
_atom_site_type_symbol
_atom_site_fract_x
_atom_site_fract_y
_atom_site_fract_z
Nd1 Nd 0.0000 0.2452 0.0000
Nd2 Nd 0.2335 0.0000 0.5000
Te1 Te 0.0000 0.5000 0.0000
Te2 Te 0.2500 0.2500 0.5000
Au1 Au 0.0000 0.0000 0.0000
```

***

DFT (PBE) results for crystalline ZrTe2Ir at its relaxed geometry.

Geometry as CIF:
```
data_ZrTe2Ir
_cell_length_a 7.0493
_cell_length_b 7.0493
_cell_length_c 7.0493
_cell_angle_alpha 90.00
_cell_angle_beta 90.00
_cell_angle_gamma 90.00
_symmetry_space_group_name_H-M 'F -4 3 m'
_symmetry_Int_Tables_number 216
_symmetry_space_group_name_Hall 'F -4 2 3'
loop_
_atom_site_label
_atom_site_type_symbol
_atom_site_fract_x
_atom_site_fract_y
_atom_site_fract_z
Zr1 Zr 0.0000 0.0000 0.0000
Te1 Te 0.0000 0.0000 0.5000
Te2 Te 0.2500 0.2500 0.7500
Ir1 Ir 0.2500 0.2500 0.2500
```

***

Number 1: uncorrected energy -4.33 eV per atom. Number 2: uncorrected energy -5.24 eV per atom. Number 3: uncorrected energy -5.75 eV per atom.